This record from Alexandria via LeMat-Bulk describes a relaxed structure of Rb3LuO3. The functional is PBE.

Output
Final energy (eV/atom): -5.1489
Uncorrected formation energy (kcal/mol of atoms): -45.3
Theoretical density (g/cm³): 4.69

Unit cell a=7.628 b=12.405 c=7.273 alpha=90.00 beta=99.78 gamma=90.00
Space group C2/m (No. 12)
Asymmetric unit:
Rb 0.000 0.208 0.000 (multiplicity 4)
Rb 0.000 0.262 0.500 (multiplicity 4)
Rb 0.139 0.500 0.857 (multiplicity 4)
Lu 0.173 0.000 0.649 (multiplicity 4)
O 0.105 0.000 0.351 (multiplicity 4)
O 0.199 0.363 0.233 (multiplicity 8)